Record 1
! Rb8Bi2As | the Alexandria database | PBE | optimized geometry; values from VASP
! Distance to the lowest polymorph of the same formula ... 0.008 eV/atom
! Formation enthalpy at 0 K ... -0.276 eV/atom
! Space-group type ... Cm, No. 8
&SYSTEM
  ibrav = 0, nat = 11, ntyp = 3
/
ATOMIC_SPECIES
Rb 85.47 Rb.upf
Bi 208.98 Bi.upf
As 74.92 As.upf
CELL_PARAMETERS angstrom
5.834 0.072 -1.746
-1.166 8.244 -3.569
0.213 -0.041 11.339
ATOMIC_POSITIONS crystal
Rb 0.636 0.224 0.909
Rb 0.985 0.027 0.605
Rb 0.289 0.330 0.213
Rb 0.733 0.943 0.103
Rb 0.342 0.867 0.318
Rb 0.933 0.458 0.500
Rb 0.133 0.556 0.909
Rb 0.539 0.749 0.715
Bi 0.796 0.607 0.226
Bi 0.479 0.290 0.592
As 0.136 0.948 0.909



Record 2
! TlAg2ICl2 | the Alexandria database | PBE | optimized geometry; values from VASP
! Space-group type ... P2_1/m, No. 11
! Formation energy (no corrections) ... -530 meV/atom
&SYSTEM
  ibrav = 0, nat = 12, ntyp = 4
/
ATOMIC_SPECIES
Tl 204.38 Tl.upf
Ag 107.87 Ag.upf
I 126.90 I.upf
Cl 35.45 Cl.upf
CELL_PARAMETERS angstrom
7.753 0.000 0.000
0.000 4.835 0.596
0.000 -1.343 11.229
ATOMIC_POSITIONS crystal
Tl 0.250 0.247 0.942
Tl 0.750 0.753 0.058
Ag 0.250 0.251 0.319
Ag 0.250 0.749 0.677
Ag 0.750 0.749 0.681
Ag 0.750 0.251 0.323
I 0.750 0.250 0.560
I 0.250 0.750 0.440
Cl 0.511 0.253 0.163
Cl 0.989 0.253 0.163
Cl 0.011 0.747 0.837
Cl 0.489 0.747 0.837



Record 3
! Li4AcPd2 | the Alexandria database | PBE | optimized geometry; values from VASP
! Distance to the lowest polymorph of the same formula ... 0.000 eV/atom
! Formation enthalpy at 0 K ... -0.425 eV/atom
! Space-group type ... P4_2/mnm, No. 136
&SYSTEM
  ibrav = 0, nat = 14, ntyp = 3
/
ATOMIC_SPECIES
Li 6.94 Li.upf
Ac 227.00 Ac.upf
Pd 106.42 Pd.upf
CELL_PARAMETERS angstrom
4.234 0.000 0.000
0.000 8.021 0.000
0.000 0.000 8.021
ATOMIC_POSITIONS crystal
Li 0.000 0.095 0.349
Li 0.000 0.905 0.651
Li 0.500 0.151 0.595
Li 0.500 0.849 0.405
Li 0.500 0.405 0.849
Li 0.500 0.595 0.151
Li 0.000 0.349 0.095
Li 0.000 0.651 0.905
Ac 0.500 0.000 0.000
Ac 0.000 0.500 0.500
Pd 0.000 0.209 0.791
Pd 0.000 0.791 0.209
Pd 0.500 0.709 0.709
Pd 0.500 0.291 0.291



Record 4
! Tb2TiCd | the Alexandria database | PBE | optimized geometry; values from VASP
! Distance to the lowest polymorph of the same formula ... 0.070 eV/atom
! Formation enthalpy at 0 K ... 0.041 eV/atom
! Space-group type ... Fm-3m, No. 225
&SYSTEM
  ibrav = 0, nat = 4, ntyp = 3
/
ATOMIC_SPECIES
Ti 47.87 Ti.upf
Tb 158.93 Tb.upf
Cd 112.41 Cd.upf
CELL_PARAMETERS angstrom
5.245 0.000 0.000
2.622 4.542 0.000
2.622 1.514 4.282
ATOMIC_POSITIONS crystal
Ti 0.500 0.500 0.500
Tb 0.250 0.250 0.250
Tb 0.750 0.750 0.750
Cd 0.000 0.000 0.000



Record 5
! Tb2Dy4Hg | the Alexandria database | PBE | optimized geometry; values from VASP
! Formation enthalpy at 0 K ... -0.001 eV/atom
! Space-group type ... C2/m, No. 12
&SYSTEM
  ibrav = 0, nat = 7, ntyp = 3
/
ATOMIC_SPECIES
Tb 158.93 Tb.upf
Dy 162.50 Dy.upf
Hg 200.59 Hg.upf
CELL_PARAMETERS angstrom
3.518 0.000 0.000
0.000 8.401 0.111
-1.759 -3.882 7.217
ATOMIC_POSITIONS crystal
Tb 0.783 0.860 0.566
Tb 0.217 0.140 0.434
Dy 0.919 0.298 0.838
Dy 0.081 0.702 0.162
Dy 0.629 0.390 0.258
Dy 0.371 0.610 0.742
Hg 0.000 0.000 0.000



Record 6
! K4Br3N2 | the Alexandria database | PBE | optimized geometry; values from VASP
! Space-group type ... C2/c, No. 15
! Formation energy (no corrections) ... -1152 meV/atom
&SYSTEM
  ibrav = 0, nat = 18, ntyp = 3
/
ATOMIC_SPECIES
K 39.10 K.upf
Br 79.90 Br.upf
N 14.01 N.upf
CELL_PARAMETERS angstrom
8.542 0.099 -0.401
-0.290 7.845 -4.222
0.128 -0.198 9.032
ATOMIC_POSITIONS crystal
K 0.485 0.720 0.901
K 0.015 0.819 0.099
K 0.515 0.280 0.099
K 0.985 0.181 0.901
K 0.804 0.650 0.445
K 0.696 0.205 0.555
K 0.196 0.350 0.555
K 0.304 0.795 0.445
Br 0.110 0.764 0.735
Br 0.390 0.029 0.265
Br 0.890 0.236 0.265
Br 0.610 0.971 0.735
Br 0.750 0.516 0.000
Br 0.250 0.484 0.000
N 0.473 0.516 0.448
N 0.027 0.068 0.552
N 0.527 0.484 0.552
N 0.973 0.932 0.448



Record 7
! Pm5Th2 | the Alexandria database | PBE | optimized geometry; values from VASP
! Formation enthalpy at 0 K ... 0.216 eV/atom
! Space-group type ... P4/mbm, No. 127
&SYSTEM
  ibrav = 0, nat = 14, ntyp = 2
/
ATOMIC_SPECIES
Pm 145.00 Pm.upf
Th 232.04 Th.upf
CELL_PARAMETERS angstrom
-2.900 1.823 -0.295
-0.369 -2.468 -11.625
-6.376 -9.775 2.278
ATOMIC_POSITIONS crystal
Pm 0.000 0.500 0.000
Pm 0.000 0.202 0.049
Pm 0.000 0.951 0.202
Pm 0.000 0.451 0.298
Pm 0.000 0.702 0.451
Pm 0.000 0.000 0.500
Pm 0.000 0.298 0.549
Pm 0.000 0.549 0.702
Pm 0.000 0.049 0.798
Pm 0.000 0.798 0.951
Th 0.500 0.688 0.188
Th 0.500 0.188 0.312
Th 0.500 0.812 0.688
Th 0.500 0.312 0.812



Record 8
! Rb3Pm2HgS6 | the Alexandria database | PBE | optimized geometry; values from VASP
! Space-group type ... C2/m, No. 12
! Formation energy (no corrections) ... -1272 meV/atom
&SYSTEM
  ibrav = 0, nat = 12, ntyp = 4
/
ATOMIC_SPECIES
Rb 85.47 Rb.upf
Pm 145.00 Pm.upf
Hg 200.59 Hg.upf
S 32.06 S.upf
CELL_PARAMETERS angstrom
-2.904 5.986 -2.659
-0.691 -6.065 -3.752
-5.280 -1.517 6.036
ATOMIC_POSITIONS crystal
Rb 0.167 0.833 0.500
Rb 0.833 0.167 0.500
Rb 0.500 0.500 0.500
Pm 0.339 0.661 0.000
Pm 0.661 0.339 0.000
Hg 0.000 0.000 0.000
S 0.938 0.618 0.813
S 0.717 0.717 0.214
S 0.062 0.382 0.187
S 0.618 0.938 0.813
S 0.283 0.283 0.786
S 0.382 0.062 0.187



Asked for calculated density across the records above, the calculation gives 3.6, 4.8, 5.7, 7.8, 9.0, 2.4, 8.1, 4.5 g cm⁻³ in order.